Record 1
16
Lattice="1.722 -5.900 0.000 1.722 5.900 0.000 0.000 0.000 11.604" Properties=species:S:1:pos:R:3 comment="Tb2NdRhN4 (GGA-PBE, relaxed)" total_energy_ev_per_atom=-7.78 formation_energy_uncorrected_ev_per_atom=-0.947 pbc="T T T"
Tb 1.722 4.365 6.323
Tb 1.722 4.365 11.083
Tb 1.722 -4.365 0.521
Tb 1.722 -4.365 5.281
Nd 1.722 1.352 8.703
Nd 1.722 -1.352 2.901
Rh 1.722 1.730 2.901
Rh 1.722 -1.730 8.703
N 1.722 5.317 8.703
N 1.722 3.199 1.484
N 1.722 3.199 4.318
N 1.722 0.000 0.000
N 1.722 0.000 5.802
N 1.722 -3.199 7.286
N 1.722 -3.199 10.119
N 1.722 -5.317 2.901

Record 2
6
Lattice="3.828 0.000 0.000 -1.914 3.315 0.000 0.000 0.000 11.709" Properties=species:S:1:pos:R:3 comment="NaYC (GGA-PBE, relaxed)" e_form_ev_per_atom=0.456 e_above_lowest_polymorph_mev_per_atom=588.8 total_energy_ev_per_atom=-5.21 pbc="T T T"
Na 0.000 0.000 0.000
Na 0.000 0.000 5.855
Y 1.914 1.105 2.689
Y 1.914 1.105 9.020
C 0.000 2.210 1.995
C 0.000 2.210 9.714

Record 3
4
Lattice="3.718 0.000 0.000 0.000 3.718 0.000 0.000 0.000 5.783" Properties=species:S:1:pos:R:3 comment="CaCdPt2 (GGA-PBE, relaxed)" e_form_ev_per_atom=-0.378 total_energy_ev_per_atom=-4.13 pbc="T T T"
Ca 0.000 0.000 0.000
Cd 1.859 1.859 1.813
Pt 0.000 0.000 2.950
Pt 1.859 1.859 4.585

Record 4
6
Lattice="2.834 0.000 0.000 -1.417 2.454 0.000 0.000 0.000 12.163" Properties=species:S:1:pos:R:3 comment="MnOsSe (GGA-PBE, relaxed)" e_above_lowest_polymorph_mev_per_atom=93.3 total_energy_ev_per_atom=-7.61 formation_energy_uncorrected_ev_per_atom=0.348 pbc="T T T"
Mn 0.000 0.000 0.000
Mn 0.000 0.000 6.082
Os 0.000 1.636 1.923
Os 0.000 1.636 10.241
Se 1.417 0.818 4.316
Se 1.417 0.818 7.848